Below is Ba8TlAu2N after structural relaxation, with properties calculated at the PBE level.

Unit cell a=7.6780 b=7.5583 c=9.7305 alpha=90.00 beta=90.00 gamma=88.47
Positions (direct):
Ba 0.1763 0.7969 0.2044
Ba 0.7219 0.7475 0.0000
Ba 0.8237 0.2032 0.2044
Ba 0.8237 0.2031 0.7956
Ba 0.2781 0.2525 0.0000
Ba 0.1763 0.7968 0.7956
Ba 0.6686 0.7109 0.5000
Ba 0.3314 0.2891 0.5000
Tl 0.0000 0.0000 0.5000
Au 0.5000 0.5000 0.7678
Au 0.5000 0.5000 0.2322
N 0.0000 0.0000 0.0000

Properties
Electronic total energy = -3.08 eV per atom
Formation energy (no corrections) = -4.38 eV/f.u.